Record 1
Compound: Pr4SiSbI2
Source: Alexandria via LeMat-Bulk
Functional: PBE
Structure: relaxed

Properties
crystal system	monoclinic
Fermi-level density of states	4.0	states/eV per cell
E_form (uncorrected)	-1.037	eV per atom
electronic total energy	-5.008	eV/atom

Unit cell a=4.437 b=7.829 c=8.146 alpha=108.23 beta=90.00 gamma=90.00
Element x y z (fractional)
Pr (0.000, 0.758, 0.206)
Sb (0.500, 0.500, 0.000)
Pr (0.500, 0.786, 0.800)
I (0.500, 0.000, 0.500)
I (0.000, 0.500, 0.500)
Pr (0.000, 0.242, 0.794)
Pr (0.500, 0.214, 0.200)
Si (0.000, 0.000, 0.000)


Record 2
Compound: RbReTe2N
Source: Alexandria via LeMat-Bulk
Functional: PBE
Structure: relaxed

Properties
crystal system	tetragonal
relative energy among the computed polymorphs	2496	meV/atom
Fermi-level density of states	5.7	states/eV per cell
E_form (uncorrected)	2.588	eV per atom
electronic total energy	-3.017	eV/atom

Unit cell a=6.362 b=6.362 c=5.013 alpha=90.00 beta=90.00 gamma=90.00
Element x y z (fractional)
Te (0.000, 0.500, 0.000)
N (0.000, 0.000, 0.500)
Te (0.500, 0.000, 0.000)
Re (0.500, 0.500, 0.500)
Rb (0.000, 0.000, 0.000)


Record 3
Compound: Na8B13C3
Source: Alexandria via LeMat-Bulk
Functional: PBE
Structure: relaxed

Properties
crystal system	monoclinic
relative energy among the computed polymorphs	19	meV/atom
Fermi-level density of states	7.0	states/eV per cell
electronic total energy	-5.009	eV/atom
formation energy from the elements	0.2004	eV/atom

Unit cell a=9.118 b=9.118 c=10.507 alpha=106.70 beta=106.70 gamma=18.03
Element x y z (fractional)
B (0.376, 0.376, 0.016)
B (0.125, 0.125, 0.723)
B (0.875, 0.875, 0.593)
Na (0.749, 0.749, 0.375)
B (0.875, 0.875, 0.274)
B (0.625, 0.625, 0.989)
Na (0.748, 0.748, 0.874)
Na (0.250, 0.250, 0.624)
B (0.375, 0.375, 0.370)
C (0.374, 0.374, 0.520)
B (0.875, 0.875, 0.113)
B (0.625, 0.625, 0.165)
B (0.125, 0.125, 0.397)
B (0.125, 0.125, 0.895)
C (0.625, 0.625, 0.471)
C (0.125, 0.125, 0.238)
Na (0.502, 0.502, 0.751)
Na (0.499, 0.499, 0.250)
B (0.875, 0.875, 0.759)
Na (0.001, 0.001, 0.000)
B (0.375, 0.375, 0.853)
B (0.625, 0.625, 0.627)
Na (0.249, 0.249, 0.125)
Na (0.001, 0.001, 0.500)